Record 1
DFT (PBE-GGA) results for a geometry-optimized KTa3Si5 structure.

Cell lengths 5.653, 5.653, 6.436 Å; angles 90.00, 90.00, 120.00 degrees
Positions (direct):
K1 0.000 0.000 0.000
Ta1 0.000 0.500 0.500
Ta2 0.500 0.000 0.500
Ta3 0.500 0.500 0.500
Si1 0.000 0.000 0.500
Si2 0.333 0.667 0.182
Si3 0.333 0.667 0.818
Si4 0.667 0.333 0.182
Si5 0.667 0.333 0.818

Calculated values
symmetry = P6/mmm


Record 2
DFT (PBE-GGA) results for a geometry-optimized Er3SiPt4 structure.

Cell lengths 5.679, 4.069, 6.972 Å; angles 90.00, 92.27, 90.00 degrees
Positions (direct):
Er1 0.000 0.000 0.000
Er2 0.245 0.000 0.497
Er3 0.735 0.500 0.358
Si1 0.495 0.500 0.823
Pt1 0.068 0.500 0.727
Pt2 0.225 0.500 0.213
Pt3 0.517 0.000 0.049
Pt4 0.705 0.000 0.660

Calculated values
symmetry = Pm


Record 3
DFT (PBE-GGA) results for a geometry-optimized Ni8C structure.

Cell lengths 7.744, 7.744, 2.326 Å; angles 90.00, 90.00, 120.00 degrees
Positions (direct):
Ni1 0.166 0.332 0.000
Ni2 0.166 0.834 0.000
Ni3 0.332 0.166 0.000
Ni4 0.333 0.667 0.000
Ni5 0.667 0.333 0.000
Ni6 0.668 0.834 0.000
Ni7 0.834 0.166 0.000
Ni8 0.834 0.668 0.000
C1 0.000 0.000 0.500

Calculated values
symmetry = P6/mmm


Record 4
DFT (PBE-GGA) results for a geometry-optimized TcB3 structure.

Cell lengths 2.908, 2.908, 4.569 Å; angles 90.00, 90.00, 120.00 degrees
Positions (direct):
Tc1 0.000 0.000 0.000
B1 0.000 0.000 0.500
B2 0.667 0.333 0.319
B3 0.667 0.333 0.681

Calculated values
symmetry = P-6m2


Record 5
DFT (PBE-GGA) results for a geometry-optimized YNbHg structure.

Cell lengths 4.857, 4.857, 4.857 Å; angles 60.00, 60.00, 60.00 degrees
Positions (direct):
Y1 0.000 0.000 0.000
Nb1 0.750 0.750 0.750
Hg1 0.500 0.500 0.500

Calculated values
symmetry = F-43m
formation energy from the elements = 2.3 eV per formula unit


Record 6
DFT (PBE-GGA) results for a geometry-optimized NdHgSeO structure.

Cell lengths 5.034, 9.025, 5.405 Å; angles 90.00, 90.00, 90.00 degrees
Positions (direct):
Nd1 0.000 0.141 0.000
Nd2 0.000 0.859 0.500
Hg1 0.500 0.310 0.579
Hg2 0.500 0.690 0.079
Se1 0.500 0.309 0.083
Se2 0.500 0.691 0.583
O1 0.000 0.090 0.605
O2 0.000 0.910 0.105

Calculated values
symmetry = Pmc2_1


| no. | calculated total energy (eV per atom) | mass density (Mg/m³) | magnetic moment (μB/atom) |
| --- | --- | --- | --- |
| 1 | -7.142 | 6.73 | 0.0001 |
| 2 | -6.502 | 13.52 | 0.0008 |
| 3 | -4.779 | 6.62 | 0.5607 |
| 4 | -7.927 | 6.47 | 0.0001 |
| 5 | -4.850 | 7.84 | 0.8395 |
| 6 | -4.929 | 5.95 | 0.0003 |